DFT (PBE) results for ErV4W after structural relaxation.

a b c (Å): 7.252 7.252 7.252
angles (deg): 90.00 90.00 90.00
Space group F-43m (No. 216)
Asymmetric unit:
Er  0.000  0.000  0.000
V  0.125  0.125  0.375
W  0.250  0.250  0.750

formation energy: 132 kJ/mol of formula units
VASP energy: -52.627 eV/f.u.
calculated volume: 15.89 Å³/atom
N(E_F): 38.2 states/eV per cell
total moment: 0.000 μB per atom



DFT (PBE) results for GaAsI2O after structural relaxation.

a b c (Å): 5.944 5.944 3.861
angles (deg): 90.00 90.00 90.00
Space group P4/mmm (No. 123)
Asymmetric unit:
Ga  0.000  0.000  0.000
As  0.500  0.500  0.500
I  0.000  0.500  0.500
O  0.500  0.500  0.000

VASP energy: -17.146 eV/f.u.
calculated volume: 27.28 Å³/atom
N(E_F): 0.3 states/eV per cell
total moment: 0.000 μB per atom



DFT (PBE) results for SrLa2Os2 after structural relaxation.

a b c (Å): 8.647 8.647 3.317
angles (deg): 90.00 90.00 90.00
Space group P4/mbm (No. 127)
Asymmetric unit:
Sr  0.000  0.000  0.000
La  0.137  0.363  0.000
Os  0.166  0.666  0.500

formation energy: 150 kJ/mol of formula units
VASP energy: -32.443 eV/f.u.
calculated volume: 24.80 Å³/atom
N(E_F): 10.4 states/eV per cell
total moment: 0.000 μB per atom



DFT (PBE) results for NaCuHgS2 after structural relaxation.

a b c (Å): 6.596 4.774 7.328
angles (deg): 90.00 103.06 90.00
Space group P2/c (No. 13)
Asymmetric unit:
Na  0.000  0.211  0.250
Cu  0.500  0.000  0.000
Hg  0.500  0.497  0.750
S  0.240  0.281  0.952

VASP energy: -16.112 eV/f.u.
calculated volume: 22.48 Å³/atom
total moment: 0.000 μB per atom



DFT (PBE) results for PmScRe after structural relaxation.

a b c (Å): 6.525 12.436 7.533
angles (deg): 90.00 90.00 90.00
Space group Cmce (No. 64)
Asymmetric unit:
Pm  0.000  0.194  0.112
Sc  0.250  0.042  0.750
Re  0.000  0.094  0.464

formation energy: 42 kJ/mol of formula units
VASP energy: -23.100 eV/f.u.
calculated volume: 25.47 Å³/atom
N(E_F): 26.0 states/eV per cell
total moment: 0.000 μB per atom



DFT (PBE) results for Re3Ni5H12 after structural relaxation.

a b c (Å): 10.357 10.357 10.357
angles (deg): 90.00 90.00 90.00
Space group Ia-3d (No. 230)
Asymmetric unit:
Re  0.000  0.250  0.125
Ni  0.000  0.000  0.000
Ni  0.000  0.250  0.375
H  0.020  0.067  0.652

VASP energy: -101.122 eV/f.u.
calculated volume: 6.94 Å³/atom
N(E_F): 94.0 states/eV per cell
total moment: 0.000 μB per atom



DFT (PBE) results for GaAg2H after structural relaxation.

a b c (Å): 5.497 5.497 8.611
angles (deg): 90.00 90.00 90.00
Space group I-42d (No. 122)
Asymmetric unit:
Ga  0.000  0.000  0.000
Ag  0.131  0.250  0.625
H  0.000  0.000  0.500

VASP energy: -11.096 eV/f.u.
calculated volume: 16.26 Å³/atom
N(E_F): 4.4 states/eV per cell
total moment: 0.000 μB per atom



DFT (PBE) results for MgS after structural relaxation.

a b c (Å): 5.696 5.696 5.696
angles (deg): 90.00 90.00 90.00
Space group F-43m (No. 216)
Asymmetric unit:
Mg  0.000  0.000  0.000
S  0.250  0.250  0.750

VASP energy: -8.557 eV/f.u.
calculated volume: 23.10 Å³/atom
N(E_F): 0.0 states/eV per cell
total moment: 0.000 μB per atom



- Which value of VASP energy does entry 8 give?
  -8.557 eV/f.u.